(1)
# Sr2CrSi, relaxed, DFT PBE
data_Sr2CrSi
_chemical_formula_sum 'Sr2 Cr1 Si1'
_cell_length_a 5.1294
_cell_length_b 5.1312
_cell_length_c 4.3092
_cell_angle_alpha 90.00
_cell_angle_beta 90.00
_cell_angle_gamma 90.00
_space_group_name_H-M_alt 'P 1'
_space_group_IT_number 1
_space_group_name_Hall 'P 1'
loop_
_atom_site_label
_atom_site_fract_x
_atom_site_fract_y
_atom_site_fract_z
Cr1 0.5000 0.0000 0.5000
Si1 0.0000 0.5000 0.5000
Sr1 0.0000 0.0000 0.0000
Sr2 0.5000 0.5000 0.0000
# Formation energy without anion corrections = 1.13 eV per formula unit
# Symmetry = P4/mmm
# Energy = -4.32 eV/atom


(2)
# CdIn2Te, relaxed, DFT PBE
data_CdIn2Te
_chemical_formula_sum 'Cd1 In2 Te1'
_cell_length_a 4.0052
_cell_length_b 4.0040
_cell_length_c 7.0237
_cell_angle_alpha 90.00
_cell_angle_beta 90.00
_cell_angle_gamma 90.00
_space_group_name_H-M_alt 'P 1'
_space_group_IT_number 1
_space_group_name_Hall 'P 1'
loop_
_atom_site_label
_atom_site_fract_x
_atom_site_fract_y
_atom_site_fract_z
Cd1 0.5000 0.5000 0.7489
Te1 0.0000 0.0000 0.5100
In1 0.0000 0.0000 0.9777
In2 0.5000 0.5000 0.2634
# Formation energy without anion corrections = -0.14 eV per formula unit
# Energy above the most stable polymorph in this dataset = 1.95 kcal/mol of atoms
# Symmetry = P4mm
# Energy = -2.42 eV/atom


(3)
# NaAlZn, relaxed, DFT PBE
data_NaAlZn
_chemical_formula_sum 'Na4 Al4 Zn4'
_cell_length_a 5.0727
_cell_length_b 5.1186
_cell_length_c 10.8334
_cell_angle_alpha 83.34
_cell_angle_beta 76.46
_cell_angle_gamma 60.30
_space_group_name_H-M_alt 'P 1'
_space_group_IT_number 1
_space_group_name_Hall 'P 1'
loop_
_atom_site_label
_atom_site_fract_x
_atom_site_fract_y
_atom_site_fract_z
Al1 0.1656 0.5000 0.6688
Al2 0.3344 0.5000 0.3312
Al3 0.5844 0.0000 0.8312
Al4 0.4156 0.0000 0.1688
Zn1 0.6251 0.5000 0.7498
Zn2 0.8749 0.5000 0.2502
Zn3 0.1249 0.0000 0.7502
Zn4 0.8751 0.0000 0.2498
Na1 0.9185 0.1630 0.5000
Na2 0.5815 0.8370 0.5000
Na3 0.8315 0.3370 0.0000
Na4 0.1685 0.6630 0.0000
# Energy above the most stable polymorph in this dataset = 1.16 kcal/mol of atoms
# Symmetry = Fddd
# Energy = -2.06 eV/atom
# Energy of formation from the pure elements = 0.054 eV/atom


(4)
# Cu3BiB, relaxed, DFT PBE
data_Cu3BiB
_chemical_formula_sum 'Cu3 Bi1 B1'
_cell_length_a 4.1796
_cell_length_b 4.1796
_cell_length_c 4.1796
_cell_angle_alpha 90.00
_cell_angle_beta 90.00
_cell_angle_gamma 90.00
_space_group_name_H-M_alt 'P 1'
_space_group_IT_number 1
_space_group_name_Hall 'P 1'
loop_
_atom_site_label
_atom_site_fract_x
_atom_site_fract_y
_atom_site_fract_z
B1 0.0000 0.0000 0.0000
Bi1 0.5000 0.5000 0.5000
Cu1 0.0000 0.5000 0.0000
Cu2 0.0000 0.0000 0.5000
Cu3 0.5000 0.0000 0.0000
# Energy above the most stable polymorph in this dataset = 0.00 kcal/mol of atoms
# Symmetry = Pm-3m
# Energy = -4.24 eV/atom
# Energy of formation from the pure elements = 0.330 eV/atom


(5)
# Ga2TcOs, relaxed, DFT PBE
data_Ga2TcOs
_chemical_formula_sum 'Ga2 Tc1 Os1'
_cell_length_a 2.7795
_cell_length_b 2.7795
_cell_length_c 9.5583
_cell_angle_alpha 81.64
_cell_angle_beta 81.64
_cell_angle_gamma 60.00
_space_group_name_H-M_alt 'P 1'
_space_group_IT_number 1
_space_group_name_Hall 'P 1'
loop_
_atom_site_label
_atom_site_fract_x
_atom_site_fract_y
_atom_site_fract_z
Os1 0.5000 0.5000 0.5000
Tc1 0.0000 0.0000 0.0000
Ga1 0.0916 0.0916 0.7253
Ga2 0.9084 0.9084 0.2747
# Energy above the most stable polymorph in this dataset = 7.63 kcal/mol of atoms
# Symmetry = R-3m
# Energy = -6.54 eV/atom
# Energy of formation from the pure elements = 0.370 eV/atom


(6)
# HoZn2Ga4, relaxed, DFT PBE
data_HoZn2Ga4
_chemical_formula_sum 'Ho1 Zn2 Ga4'
_cell_length_a 4.9749
_cell_length_b 6.1037
_cell_length_c 6.1037
_cell_angle_alpha 58.39
_cell_angle_beta 59.98
_cell_angle_gamma 59.98
_space_group_name_H-M_alt 'P 1'
_space_group_IT_number 1
_space_group_name_Hall 'P 1'
loop_
_atom_site_label
_atom_site_fract_x
_atom_site_fract_y
_atom_site_fract_z
Ho1 0.0000 0.0000 0.0000
Zn1 0.7948 0.4696 0.4696
Zn2 0.2052 0.5304 0.5304
Ga1 0.6842 0.5849 0.0282
Ga2 0.3158 0.4150 0.9718
Ga3 0.6842 0.0282 0.5849
Ga4 0.3158 0.9718 0.4150
# Energy above the most stable polymorph in this dataset = 0.00 kcal/mol of atoms
# Symmetry = C2/m
# Energy = -2.98 eV/atom
# Energy of formation from the pure elements = -0.235 eV/atom


(7)
# AgMo2As, relaxed, DFT PBE
data_AgMo2As
_chemical_formula_sum 'Ag1 Mo2 As1'
_cell_length_a 5.0369
_cell_length_b 5.0369
_cell_length_c 2.8093
_cell_angle_alpha 90.00
_cell_angle_beta 90.00
_cell_angle_gamma 114.24
_space_group_name_H-M_alt 'P 1'
_space_group_IT_number 1
_space_group_name_Hall 'P 1'
loop_
_atom_site_label
_atom_site_fract_x
_atom_site_fract_y
_atom_site_fract_z
Mo1 0.0000 0.0000 0.0000
Mo2 0.5000 0.5000 0.0000
As1 0.0000 0.5000 0.5000
Ag1 0.5000 0.0000 0.5000
# Symmetry = Cmmm
# Energy = -6.77 eV/atom
# Energy of formation from the pure elements = 0.520 eV/atom


(8)
# ZrTl2GaTe5, relaxed, DFT PBE
data_ZrTl2GaTe5
_chemical_formula_sum 'Zr2 Tl4 Ga2 Te10'
_cell_length_a 4.0289
_cell_length_b 10.3157
_cell_length_c 14.9693
_cell_angle_alpha 90.00
_cell_angle_beta 90.00
_cell_angle_gamma 101.26
_space_group_name_H-M_alt 'P 1'
_space_group_IT_number 1
_space_group_name_Hall 'P 1'
loop_
_atom_site_label
_atom_site_fract_x
_atom_site_fract_y
_atom_site_fract_z
Zr1 0.7940 0.5881 0.5327
Zr2 0.2060 0.4119 0.0327
Tl1 0.8746 0.7492 0.8291
Tl2 0.1248 0.2496 0.6733
Tl3 0.1254 0.2508 0.3291
Tl4 0.8752 0.7504 0.1733
Ga1 0.5662 0.1325 0.9207
Ga2 0.4338 0.8675 0.4207
Te1 0.3441 0.6882 0.0048
Te2 0.6964 0.3929 0.8863
Te3 0.4992 0.9984 0.7719
Te4 0.2927 0.5854 0.6697
Te5 0.9475 0.8950 0.5355
Te6 0.6559 0.3118 0.5048
Te7 0.3036 0.6071 0.3863
Te8 0.5008 0.0016 0.2719
Te9 0.7073 0.4146 0.1697
Te10 0.0525 0.1050 0.0355
# Formation energy without anion corrections = -4.17 eV per formula unit
# Symmetry = Cmc2_1
# Energy = -4.02 eV/atom


(9)
# PmCdHg3, relaxed, DFT PBE
data_PmCdHg3
_chemical_formula_sum 'Pm2 Cd2 Hg6'
_cell_length_a 8.5176
_cell_length_b 6.1914
_cell_length_c 6.6596
_cell_angle_alpha 117.70
_cell_angle_beta 115.85
_cell_angle_gamma 90.00
_space_group_name_H-M_alt 'P 1'
_space_group_IT_number 1
_space_group_name_Hall 'P 1'
loop_
_atom_site_label
_atom_site_fract_x
_atom_site_fract_y
_atom_site_fract_z
Pm1 0.2993 0.3358 0.6717
Pm2 0.7007 0.6642 0.3283
Cd1 0.0000 0.0000 0.0000
Cd2 0.5000 0.0000 0.0000
Hg1 0.6749 0.6222 0.7790
Hg2 0.6749 0.1568 0.7790
Hg3 0.1198 0.7520 0.5039
Hg4 0.8802 0.2480 0.4961
Hg5 0.3251 0.8432 0.2210
Hg6 0.3251 0.3778 0.2210
# Energy above the most stable polymorph in this dataset = 2.81 kcal/mol of atoms
# Symmetry = C2/m
# Energy = -1.51 eV/atom
# Energy of formation from the pure elements = -0.194 eV/atom


(10)
# Sc2Mn, relaxed, DFT PBE
data_Sc2Mn
_chemical_formula_sum 'Sc8 Mn4'
_cell_length_a 6.3026
_cell_length_b 6.3026
_cell_length_c 6.3026
_cell_angle_alpha 90.00
_cell_angle_beta 90.00
_cell_angle_gamma 90.00
_space_group_name_H-M_alt 'P 1'
_space_group_IT_number 1
_space_group_name_Hall 'P 1'
loop_
_atom_site_label
_atom_site_fract_x
_atom_site_fract_y
_atom_site_fract_z
Sc1 0.1607 0.6607 0.8393
Sc2 0.1607 0.8393 0.3393
Sc3 0.3393 0.1607 0.8393
Sc4 0.3393 0.3393 0.3393
Sc5 0.6607 0.6607 0.6607
Sc6 0.6607 0.8393 0.1607
Sc7 0.8393 0.1607 0.6607
Sc8 0.8393 0.3393 0.1607
Mn1 0.0000 0.0000 0.0000
Mn2 0.0000 0.5000 0.5000
Mn3 0.5000 0.0000 0.5000
Mn4 0.5000 0.5000 0.0000
# Symmetry = Pa-3
# Energy = -6.93 eV/atom
# Energy of formation from the pure elements = 0.347 eV/atom


(11)
# Tl3Cr2Br9, relaxed, DFT PBE
data_Tl3Cr2Br9
_chemical_formula_sum 'Tl3 Cr2 Br9'
_cell_length_a 7.3414
_cell_length_b 7.3414
_cell_length_c 9.1150
_cell_angle_alpha 90.00
_cell_angle_beta 90.00
_cell_angle_gamma 120.00
_space_group_name_H-M_alt 'P 1'
_space_group_IT_number 1
_space_group_name_Hall 'P 1'
loop_
_atom_site_label
_atom_site_fract_x
_atom_site_fract_y
_atom_site_fract_z
Tl1 0.6667 0.3333 0.6439
Tl2 0.0000 0.0000 0.0000
Tl3 0.3333 0.6667 0.3561
Cr1 0.6667 0.3333 0.1739
Cr2 0.3333 0.6667 0.8261
Br1 0.1736 0.8264 0.6781
Br2 0.1736 0.3472 0.6781
Br3 0.5000 0.5000 0.0000
Br4 0.8264 0.6528 0.3219
Br5 0.3472 0.1736 0.3219
Br6 0.6528 0.8264 0.6781
Br7 0.8264 0.1736 0.3219
Br8 0.0000 0.5000 0.0000
Br9 0.5000 0.0000 0.0000
# Formation energy without anion corrections = -10.54 eV per formula unit
# Symmetry = P-3m1
# Energy = -3.71 eV/atom


(12)
# La2Ir, relaxed, DFT PBE
data_La2Ir
_chemical_formula_sum 'La2 Ir1'
_cell_length_a 5.0165
_cell_length_b 5.0165
_cell_length_c 5.0165
_cell_angle_alpha 60.00
_cell_angle_beta 60.00
_cell_angle_gamma 60.00
_space_group_name_H-M_alt 'P 1'
_space_group_IT_number 1
_space_group_name_Hall 'P 1'
loop_
_atom_site_label
_atom_site_fract_x
_atom_site_fract_y
_atom_site_fract_z
Ir1 0.0000 0.0000 0.0000
La1 0.7500 0.7500 0.7500
La2 0.2500 0.2500 0.2500
# Symmetry = Fm-3m
# Energy = -6.81 eV/atom
# Energy of formation from the pure elements = -0.567 eV/atom


(13)
# NaGeS2N, relaxed, DFT PBE
data_NaGeS2N
_chemical_formula_sum 'Na1 Ge1 S2 N1'
_cell_length_a 4.9240
_cell_length_b 4.9240
_cell_length_c 3.7795
_cell_angle_alpha 90.00
_cell_angle_beta 90.00
_cell_angle_gamma 90.00
_space_group_name_H-M_alt 'P 1'
_space_group_IT_number 1
_space_group_name_Hall 'P 1'
loop_
_atom_site_label
_atom_site_fract_x
_atom_site_fract_y
_atom_site_fract_z
Na1 0.5000 0.5000 0.5000
Ge1 0.0000 0.0000 0.0000
S1 0.0000 0.5000 0.0000
S2 0.5000 0.0000 0.0000
N1 0.0000 0.0000 0.5000
# Formation energy without anion corrections = 1.68 eV per formula unit
# Energy above the most stable polymorph in this dataset = 0.00 kcal/mol of atoms
# Symmetry = P4/mmm
# Energy = -4.17 eV/atom


(14)
# UPdRu2, relaxed, DFT PBE
data_UPdRu2
_chemical_formula_sum 'U1 Pd1 Ru2'
_cell_length_a 4.5459
_cell_length_b 4.5459
_cell_length_c 4.5459
_cell_angle_alpha 60.00
_cell_angle_beta 60.00
_cell_angle_gamma 60.00
_space_group_name_H-M_alt 'P 1'
_space_group_IT_number 1
_space_group_name_Hall 'P 1'
loop_
_atom_site_label
_atom_site_fract_x
_atom_site_fract_y
_atom_site_fract_z
Ru1 0.2500 0.2500 0.2500
Ru2 0.7500 0.7500 0.7500
U1 0.5000 0.5000 0.5000
Pd1 0.0000 0.0000 0.0000
# Energy above the most stable polymorph in this dataset = 6.40 kcal/mol of atoms
# Symmetry = Fm-3m
# Energy = -8.86 eV/atom
# Energy of formation from the pure elements = -0.103 eV/atom


(15)
# LaAlCd2Bi, relaxed, DFT PBE
data_LaAlCd2Bi
_chemical_formula_sum 'La1 Al1 Cd2 Bi1'
_cell_length_a 5.0677
_cell_length_b 5.9735
_cell_length_c 5.0677
_cell_angle_alpha 90.00
_cell_angle_beta 90.00
_cell_angle_gamma 90.00
_space_group_name_H-M_alt 'P 1'
_space_group_IT_number 1
_space_group_name_Hall 'P 1'
loop_
_atom_site_label
_atom_site_fract_x
_atom_site_fract_y
_atom_site_fract_z
Al1 0.0000 0.0000 0.0000
Cd1 0.0000 0.0000 0.5000
Cd2 0.5000 0.0000 0.0000
Bi1 0.5000 0.5000 0.5000
La1 0.0000 0.5000 0.0000
# Symmetry = P4/mmm
# Energy = -2.90 eV/atom
# Energy of formation from the pure elements = -0.022 eV/atom


(16)
# Cr2CuNiH, relaxed, DFT PBE
data_Cr2CuNiH
_chemical_formula_sum 'Cr2 Cu1 Ni1 H1'
_cell_length_a 3.5485
_cell_length_b 3.5485
_cell_length_c 3.8303
_cell_angle_alpha 90.00
_cell_angle_beta 90.00
_cell_angle_gamma 90.00
_space_group_name_H-M_alt 'P 1'
_space_group_IT_number 1
_space_group_name_Hall 'P 1'
loop_
_atom_site_label
_atom_site_fract_x
_atom_site_fract_y
_atom_site_fract_z
Ni1 0.0000 0.0000 0.5000
H1 0.0000 0.0000 0.0000
Cu1 0.5000 0.5000 0.5000
Cr1 0.0000 0.5000 0.0000
Cr2 0.5000 0.0000 0.0000
# Energy above the most stable polymorph in this dataset = 0.00 kcal/mol of atoms
# Symmetry = P4/mmm
# Energy = -6.32 eV/atom


(17)
# TcBN2O, relaxed, DFT PBE
data_TcBN2O
_chemical_formula_sum 'Tc1 B1 N2 O1'
_cell_length_a 3.8599
_cell_length_b 3.8599
_cell_length_c 3.9053
_cell_angle_alpha 90.00
_cell_angle_beta 90.00
_cell_angle_gamma 90.00
_space_group_name_H-M_alt 'P 1'
_space_group_IT_number 1
_space_group_name_Hall 'P 1'
loop_
_atom_site_label
_atom_site_fract_x
_atom_site_fract_y
_atom_site_fract_z
B1 0.5000 0.5000 0.5000
Tc1 0.0000 0.0000 0.0000
O1 0.0000 0.0000 0.5000
N1 0.0000 0.5000 0.0000
N2 0.5000 0.0000 0.0000
# Formation energy without anion corrections = 5.75 eV per formula unit
# Symmetry = P4/mmm
# Energy = -6.58 eV/atom


(18)
# Ce2Dy4Th3, relaxed, DFT PBE
data_Ce2Dy4Th3
_chemical_formula_sum 'Ce2 Dy4 Th3'
_cell_length_a 3.5094
_cell_length_b 3.5094
_cell_length_c 26.4799
_cell_angle_alpha 90.00
_cell_angle_beta 90.00
_cell_angle_gamma 120.00
_space_group_name_H-M_alt 'P 1'
_space_group_IT_number 1
_space_group_name_Hall 'P 1'
loop_
_atom_site_label
_atom_site_fract_x
_atom_site_fract_y
_atom_site_fract_z
Ce1 0.0000 0.0000 0.0919
Ce2 0.0000 0.0000 0.8733
Dy1 0.3333 0.6667 0.5429
Dy2 0.0000 0.0000 0.4338
Dy3 0.0000 0.0000 0.2141
Dy4 0.3333 0.6667 0.7642
Th1 0.3333 0.6667 0.9819
Th2 0.3333 0.6667 0.3218
Th3 0.0000 0.0000 0.6533
# Symmetry = P3m1
# Energy = -5.74 eV/atom
# Energy of formation from the pure elements = 0.102 eV/atom


(19)
# Tb2PmNi9, relaxed, DFT PBE
data_Tb2PmNi9
_chemical_formula_sum 'Tb2 Pm1 Ni9'
_cell_length_a 4.9969
_cell_length_b 4.9969
_cell_length_c 8.6326
_cell_angle_alpha 73.18
_cell_angle_beta 73.18
_cell_angle_gamma 60.00
_space_group_name_H-M_alt 'P 1'
_space_group_IT_number 1
_space_group_name_Hall 'P 1'
loop_
_atom_site_label
_atom_site_fract_x
_atom_site_fract_y
_atom_site_fract_z
Tb1 0.8606 0.8606 0.4181
Tb2 0.1394 0.1394 0.5819
Pm1 0.0000 0.0000 0.0000
Ni1 0.6671 0.6671 0.9988
Ni2 0.3329 0.3329 0.0012
Ni3 0.5000 0.5000 0.5000
Ni4 0.4172 0.4172 0.2473
Ni5 0.9183 0.4172 0.2473
Ni6 0.4172 0.9183 0.2473
Ni7 0.5828 0.5828 0.7527
Ni8 0.5828 0.0817 0.7527
Ni9 0.0817 0.5828 0.7527
# Symmetry = R-3m
# Energy = -5.89 eV/atom
# Energy of formation from the pure elements = -0.385 eV/atom


(20)
# ZnTe2Ir, relaxed, DFT PBE
data_ZnTe2Ir
_chemical_formula_sum 'Zn1 Te2 Ir1'
_cell_length_a 3.9186
_cell_length_b 5.8271
_cell_length_c 3.8407
_cell_angle_alpha 90.00
_cell_angle_beta 90.00
_cell_angle_gamma 90.00
_space_group_name_H-M_alt 'P 1'
_space_group_IT_number 1
_space_group_name_Hall 'P 1'
loop_
_atom_site_label
_atom_site_fract_x
_atom_site_fract_y
_atom_site_fract_z
Ir1 0.0000 0.5000 0.5000
Te1 0.0000 0.0000 0.0000
Te2 0.5000 0.5000 0.0000
Zn1 0.5000 0.0000 0.5000
# Formation energy without anion corrections = 1.92 eV per formula unit
# Symmetry = Pmmm
# Energy = -3.62 eV/atom